No. 1
# CdReIr2 | Alexandria via LeMat-Bulk | PBE | relaxed
# - M_tot (μB/f.u.) = 0.0
# - DFT total energy (eV per atom) = -7.500
# - ΔH_f (0 K) (meV per atom) = 271.5
data_CdReIr2
_chemical_formula_sum 'Cd2 Re2 Ir4'
_symmetry_space_group_name_H-M 'I m m 2'
_symmetry_Int_Tables_number 44
_symmetry_space_group_name_Hall 'I 2 -2'
_cell_length_a 2.768
_cell_length_b 4.428
_cell_length_c 11.112
_cell_angle_alpha 90.00
_cell_angle_beta 90.00
_cell_angle_gamma 90.00
loop_
_atom_site_label
_atom_site_type_symbol
_atom_site_fract_x
_atom_site_fract_y
_atom_site_fract_z
Cd1 Cd 0.000 0.000 0.000
Re1 Re 0.000 0.500 0.259
Ir1 Ir 0.000 0.000 0.568
Ir2 Ir 0.000 0.500 0.829

No. 2
# CdReIr2 | Alexandria via LeMat-Bulk | PBE | relaxed
# - M_tot (μB/f.u.) = 0.0
# - DFT total energy (eV per atom) = -7.739
# - ΔH_f (0 K) (meV per atom) = 32.7
data_CdReIr2
_chemical_formula_sum 'Cd3 Re3 Ir6'
_symmetry_space_group_name_H-M 'R -3 m'
_symmetry_Int_Tables_number 166
_symmetry_space_group_name_Hall '-R 3 2"'
_cell_length_a 2.8215
_cell_length_b 2.8215
_cell_length_c 27.6158
_cell_angle_alpha 90.00
_cell_angle_beta 90.00
_cell_angle_gamma 120.00
loop_
_atom_site_label
_atom_site_type_symbol
_atom_site_fract_x
_atom_site_fract_y
_atom_site_fract_z
Cd1 Cd 0.0000 0.0000 0.0000
Re1 Re 0.0000 0.0000 0.5000
Ir1 Ir 0.0000 0.0000 0.2434

No. 3
# Cd2ReIr | Alexandria via LeMat-Bulk | PBE | relaxed
# - M_tot (μB/f.u.) = 0.6
# - DFT total energy (eV per atom) = -5.113
# - ΔH_f (0 K) (meV per atom) = 671.4
data_Cd2ReIr
_chemical_formula_sum 'Cd4 Re2 Ir2'
_symmetry_space_group_name_H-M 'I 4/m m m'
_symmetry_Int_Tables_number 139
_symmetry_space_group_name_Hall '-I 4 2'
_cell_length_a 3.933
_cell_length_b 3.933
_cell_length_c 8.954
_cell_angle_alpha 90.00
_cell_angle_beta 90.00
_cell_angle_gamma 90.00
loop_
_atom_site_label
_atom_site_type_symbol
_atom_site_fract_x
_atom_site_fract_y
_atom_site_fract_z
Cd1 Cd 0.000 0.500 0.250
Re1 Re 0.000 0.000 0.000
Ir1 Ir 0.000 0.000 0.500

No. 4
# Cd2ReIr | Alexandria via LeMat-Bulk | PBE | relaxed
# - M_tot (μB/f.u.) = 0.6
# - DFT total energy (eV per atom) = -5.269
# - ΔH_f (0 K) (meV per atom) = 515.9
data_Cd2ReIr
_chemical_formula_sum 'Cd2 Re1 Ir1'
_symmetry_space_group_name_H-M 'P m m m'
_symmetry_Int_Tables_number 47
_symmetry_space_group_name_Hall '-P 2 2'
_cell_length_a 2.886
_cell_length_b 4.836
_cell_length_c 4.917
_cell_angle_alpha 90.00
_cell_angle_beta 90.00
_cell_angle_gamma 90.00
loop_
_atom_site_label
_atom_site_type_symbol
_atom_site_fract_x
_atom_site_fract_y
_atom_site_fract_z
Cd1 Cd 0.000 0.000 0.000
Cd2 Cd 0.500 0.500 0.000
Re1 Re 0.000 0.500 0.500
Ir1 Ir 0.500 0.000 0.500